A plane-wave DFT calculation with PBE-GGA was carried out for crystalline ErPuGa4 at its relaxed geometry.

Output
E_tot = -5.5914 eV per atom
total magnetization = 6.06 μB/f.u.
V = 118.25 Å³ per cell
mass density = 9.7 Mg/m³

Structure (CIF):
```
data_ErPuGa4
_cell_length_a 5.5094
_cell_length_b 5.5094
_cell_length_c 5.5094
_cell_angle_alpha 60.00
_cell_angle_beta 60.00
_cell_angle_gamma 60.00
_symmetry_space_group_name_H-M 'P 1'
_symmetry_Int_Tables_number 1
loop_
_symmetry_equiv_pos_as_xyz
'x,y,z'
loop_
_atom_site_label
_atom_site_fract_x
_atom_site_fract_y
_atom_site_fract_z
Ga1 0.6247 0.1258 0.6247
Ga2 0.1258 0.6247 0.6247
Ga3 0.6247 0.6247 0.6247
Ga4 0.6247 0.6247 0.1258
Er1 0.0000 0.0000 0.0000
Pu1 0.2500 0.2500 0.2500
```

---

A plane-wave DFT calculation with PBE-GGA was carried out for crystalline InTePO2 at its relaxed geometry.

Output
E_tot = -4.5870 eV per atom
total magnetization = 0.00 μB/f.u.
V = 88.44 Å³ per cell
mass density = 5.7 Mg/m³

Structure (CIF):
```
data_InTePO2
_cell_length_a 4.0540
_cell_length_b 4.0540
_cell_length_c 5.3811
_cell_angle_alpha 90.00
_cell_angle_beta 90.00
_cell_angle_gamma 90.00
_symmetry_space_group_name_H-M 'P 1'
_symmetry_Int_Tables_number 1
loop_
_symmetry_equiv_pos_as_xyz
'x,y,z'
loop_
_atom_site_label
_atom_site_fract_x
_atom_site_fract_y
_atom_site_fract_z
In1 0.5000 0.5000 0.5000
Te1 0.0000 0.0000 0.0000
O1 0.5000 0.0000 0.0000
O2 0.0000 0.5000 0.0000
P1 0.0000 0.0000 0.5000
```

---

- The highest mass density belongs to which entry?
  ErPuGa4

---

- What is the E_tot in the first record?
  -5.5914 eV per atom

---

- What is the formula in the first record?
  ErPuGa4